First-principles (PBE-GGA) data for a relaxed Nd4CoNi crystal, as listed in Alexandria.

a b c (Å): 8.398 8.398 6.827
angles (deg): 110.58 110.58 114.43
Positions (direct):
Nd 0.038 0.607 0.829
Nd 0.215 0.283 0.762
Nd 0.283 0.215 0.262
Nd 0.393 0.962 0.671
Nd 0.607 0.038 0.329
Nd 0.717 0.785 0.738
Nd 0.785 0.717 0.238
Nd 0.962 0.393 0.171
Co 0.094 0.906 0.750
Co 0.906 0.094 0.250
Ni 0.372 0.628 0.250
Ni 0.628 0.372 0.750

The value obtained for the density of states at the Fermi level is 1.037 states/eV per atom.



First-principles (PBE-GGA) data for a relaxed Nd4CoNi3 crystal, as listed in Alexandria.

a b c (Å): 3.878 4.207 10.725
angles (deg): 90.00 90.00 90.00
Positions (direct):
Nd 0.000 0.000 0.000
Nd 0.000 0.500 0.276
Nd 0.500 0.000 0.493
Nd 0.500 0.500 0.774
Co 0.500 0.000 0.205
Ni 0.000 0.000 0.705
Ni 0.000 0.500 0.568
Ni 0.500 0.500 0.069

The value obtained for the density of states at the Fermi level is 0.908 states/eV per atom.



First-principles (PBE-GGA) data for a relaxed Nd3Co4Ni2 crystal, as listed in Alexandria.

a b c (Å): 3.950 3.950 24.680
angles (deg): 90.00 90.00 120.00
Positions (direct):
Nd 0.000 0.000 0.083
Nd 0.000 0.000 0.252
Nd 0.000 0.000 0.415
Nd 0.000 0.000 0.585
Nd 0.000 0.000 0.748
Nd 0.000 0.000 0.917
Co 0.333 0.667 0.166
Co 0.333 0.667 0.333
Co 0.333 0.667 0.500
Co 0.333 0.667 0.667
Co 0.333 0.667 0.834
Co 0.667 0.333 0.166
Co 0.667 0.333 0.500
Co 0.667 0.333 0.834
Ni 0.333 0.667 0.000
Ni 0.667 0.333 0.000
Ni 0.667 0.333 0.333
Ni 0.667 0.333 0.667

The value obtained for the density of states at the Fermi level is 0.939 states/eV per atom.



Ordered ρ results: 6.92 7.71 7.83; unit g/cm³.
Ordered ΔE_f results: -0.35 -1.95 -1.27; unit eV per formula unit.